Entry 1:
20
Lattice="9.5593 0.0000 0.0000 0.0000 9.5593 0.0000 0.0000 0.0000 3.6486" Properties=species:S:1:pos:R:3 comment="Dy2Mn2GaRh5 (GGA-PBE, optimized geometry)" delta_e_f_ev_per_atom=-0.472 space_group="No. 127" pbc="T T T"
Dy 1.6866 3.0931 0.0000
Dy 3.0931 7.8727 0.0000
Dy 6.4662 1.6866 0.0000
Dy 7.8727 6.4662 0.0000
Mn 1.1808 5.9605 0.0000
Mn 3.5988 1.1808 0.0000
Mn 5.9605 8.3785 0.0000
Mn 8.3785 3.5988 0.0000
Ga 0.0000 0.0000 0.0000
Ga 4.7796 4.7796 0.0000
Rh 0.0000 4.7796 1.8243
Rh 0.6165 7.6236 1.8243
Rh 1.9357 0.6165 1.8243
Rh 2.8439 5.3961 1.8243
Rh 4.1632 2.8439 1.8243
Rh 4.7796 0.0000 1.8243
Rh 5.3961 6.7154 1.8243
Rh 6.7154 4.1632 1.8243
Rh 7.6236 8.9428 1.8243
Rh 8.9428 1.9357 1.8243

Entry 2:
9
Lattice="7.0695 0.0000 0.0000 -3.5348 6.1224 0.0000 0.0000 0.0000 3.9542" Properties=species:S:1:pos:R:3 comment="Dy3Mn3Ga2Si (GGA-PBE, optimized geometry)" relative_energy_mev_per_atom=3 e_form_raw_kj_per_mol_atoms=-32.73 space_group="No. 189" pbc="T T T"
Dy -2.0936 3.6262 0.0000
Dy 1.4412 2.4962 0.0000
Dy 4.1872 0.0000 0.0000
Mn -0.7789 1.3490 1.9771
Mn 1.5577 0.0000 1.9771
Mn 2.7559 4.7734 1.9771
Ga 0.0000 4.0816 1.9771
Ga 3.5348 2.0408 1.9771
Si 0.0000 0.0000 0.0000

Entry 3:
9
Lattice="6.9655 0.0000 0.0000 -3.4827 6.0323 0.0000 0.0000 0.0000 4.1583" Properties=species:S:1:pos:R:3 comment="Dy3Mn3Ga2Si (GGA-PBE, optimized geometry)" relative_energy_mev_per_atom=0 e_form_raw_kj_per_mol_atoms=-32.98 space_group="No. 174" pbc="T T T"
Dy -1.4434 2.5498 0.0000
Dy -0.5528 6.0074 0.0000
Dy 1.9963 3.5073 0.0000
Mn -2.6019 4.6563 2.0791
Mn 0.7513 1.4509 2.0791
Mn 1.8506 5.9575 2.0791
Ga 0.0000 0.0000 0.0000
Ga 3.4827 2.0108 2.0791
Si 0.0000 4.0215 2.0791

Entry 4:
4
Lattice="0.0000 3.6013 3.6013 3.6013 0.0000 3.6013 3.6013 3.6013 0.0000" Properties=species:S:1:pos:R:3 comment="SmDyMnGa (GGA-PBE, optimized geometry)" delta_e_f_ev_per_atom=-0.141 space_group="No. 216" pbc="T T T"
Sm 0.0000 0.0000 0.0000
Dy 3.6013 3.6013 3.6013
Mn 5.4020 5.4020 5.4020
Ga 1.8007 1.8007 1.8007

Entry 5:
4
Lattice="0.0000 3.6059 3.6059 3.6059 0.0000 3.6059 3.6059 3.6059 0.0000" Properties=species:S:1:pos:R:3 comment="DyThMnGa (GGA-PBE, optimized geometry)" delta_e_f_ev_per_atom=-0.093 space_group="No. 216" pbc="T T T"
Dy 0.0000 0.0000 0.0000
Th 3.6059 3.6059 3.6059
Mn 5.4089 5.4089 5.4089
Ga 1.8030 1.8030 1.8030

Entry 6:
4
Lattice="0.0000 3.5362 3.5362 3.5362 0.0000 3.5362 3.5362 3.5362 0.0000" Properties=species:S:1:pos:R:3 comment="DyTmMnGa (GGA-PBE, optimized geometry)" delta_e_f_ev_per_atom=-0.170 space_group="No. 216" pbc="T T T"
Dy 0.0000 0.0000 0.0000
Tm 3.5362 3.5362 3.5362
Mn 5.3043 5.3043 5.3043
Ga 1.7681 1.7681 1.7681

Entry 7:
4
Lattice="0.0000 3.5693 3.5693 3.5693 0.0000 3.5693 3.5693 3.5693 0.0000" Properties=species:S:1:pos:R:3 comment="DyYMnGa (GGA-PBE, optimized geometry)" delta_e_f_ev_per_atom=-0.167 space_group="No. 216" pbc="T T T"
Dy 0.0000 0.0000 0.0000
Y 3.5693 3.5693 3.5693
Mn 1.7846 1.7846 1.7846
Ga 5.3539 5.3539 5.3539

Entry 8:
4
Lattice="0.0000 3.3088 3.3088 3.3088 0.0000 3.3088 3.3088 3.3088 0.0000" Properties=species:S:1:pos:R:3 comment="DyMnZnGa (GGA-PBE, optimized geometry)" delta_e_f_ev_per_atom=-0.209 space_group="No. 216" pbc="T T T"
Dy 0.0000 0.0000 0.0000
Mn 3.3088 3.3088 3.3088
Zn 4.9631 4.9631 4.9631
Ga 1.6544 1.6544 1.6544

Number 1: ρ 10.15 Mg/m³, magnetic moment 6.871 μB per formula unit. Number 2: ρ 7.95 Mg/m³, magnetic moment 7.513 μB per formula unit. Number 3: ρ 7.79 Mg/m³, magnetic moment 9.577 μB per formula unit. Number 4: ρ 7.78 Mg/m³, magnetic moment 3.298 μB per formula unit. Number 5: ρ 9.19 Mg/m³, magnetic moment 2.708 μB per formula unit. Number 6: ρ 8.56 Mg/m³, magnetic moment 3.315 μB per formula unit. Number 7: ρ 6.87 Mg/m³, magnetic moment 3.340 μB per formula unit. Number 8: ρ 8.08 Mg/m³, magnetic moment 3.202 μB per formula unit.